No. 1
LiZrFe2 | GGA-PBE | optimized geometry

Properties
Symmetry: Pm
Crystal system: monoclinic
Energy of formation, meV per atom: 219.6

Lattice parameters (Å, degrees): 2.764 3.999 5.448 90.00 103.02 90.00
Sites, in units of the cell vectors:
Li  0.000  0.000  0.000
Zr  0.595  0.500  0.314
Fe  0.173  0.000  0.577
Fe  0.535  0.500  0.784



No. 2
Hf2TePtN | GGA-PBE | optimized geometry

Properties
Symmetry: P4/mmm
Crystal system: tetragonal
Formation energy (no corrections), meV/atom: 266

Lattice parameters (Å, degrees): 5.275 5.275 3.741 90.00 90.00 90.00
Sites, in units of the cell vectors:
Hf  0.000  0.500  0.000
Hf  0.500  0.000  0.000
Te  0.000  0.000  0.500
Pt  0.500  0.500  0.000
N  0.500  0.500  0.500



No. 3
LiTcP2 | GGA-PBE | optimized geometry

Properties
Symmetry: F-43m
Excess energy over the best structure of this formula in the dataset, eV per atom: 0.679
Crystal system: cubic
Energy of formation, meV per atom: 246.9

Lattice parameters (Å, degrees): 4.182 4.182 4.182 60.00 60.00 60.00
Sites, in units of the cell vectors:
Li  0.000  0.000  0.000
Tc  0.750  0.750  0.750
P  0.250  0.250  0.250
P  0.500  0.500  0.500



No. 4
Na8TeAs2 | GGA-PBE | optimized geometry

Properties
Symmetry: Immm
Crystal system: orthorhombic
Formation energy (no corrections), meV/atom: -532

Lattice parameters (Å, degrees): 8.786 8.786 8.786 147.03 129.61 61.54
Sites, in units of the cell vectors:
Na  0.114  0.338  0.776
Na  0.170  0.170  0.000
Na  0.300  0.000  0.300
Na  0.438  0.662  0.776
Na  0.562  0.338  0.224
Na  0.700  0.000  0.700
Na  0.830  0.830  0.000
Na  0.886  0.662  0.224
Te  0.000  0.500  0.500
As  0.320  0.820  0.500
As  0.680  0.180  0.500



No. 5
PrErPuTl | GGA-PBE | optimized geometry

Properties
Symmetry: F-43m
Crystal system: cubic
Energy of formation, meV per atom: 69.3

Lattice parameters (Å, degrees): 5.518 5.518 5.518 60.00 60.00 60.00
Sites, in units of the cell vectors:
Pr  0.000  0.000  0.000
Er  0.250  0.250  0.250
Pu  0.500  0.500  0.500
Tl  0.750  0.750  0.750



No. 6
Al2CrAs2 | GGA-PBE | optimized geometry

Properties
Symmetry: P4/mbm
Excess energy over the best structure of this formula in the dataset, eV per atom: 0.000
Crystal system: tetragonal
Energy of formation, meV per atom: 87.9

Lattice parameters (Å, degrees): 6.860 6.860 3.743 90.00 90.00 90.00
Sites, in units of the cell vectors:
Al  0.142  0.358  0.000
Al  0.358  0.858  0.000
Al  0.642  0.142  0.000
Al  0.858  0.642  0.000
Cr  0.000  0.000  0.500
Cr  0.500  0.500  0.500
As  0.170  0.670  0.500
As  0.330  0.170  0.500
As  0.670  0.830  0.500
As  0.830  0.330  0.500



No. 7
Tl2CrAgSe4 | GGA-PBE | optimized geometry

Properties
Symmetry: Fddd
Crystal system: orthorhombic
Formation energy (no corrections), meV/atom: -340

Lattice parameters (Å, degrees): 12.973 11.417 7.492 83.90 61.06 35.04
Sites, in units of the cell vectors:
Tl  0.057  0.057  0.693
Tl  0.307  0.307  0.943
Tl  0.693  0.693  0.057
Tl  0.943  0.943  0.307
Cr  0.125  0.125  0.125
Cr  0.875  0.875  0.875
Ag  0.375  0.375  0.375
Ag  0.625  0.625  0.625
Se  0.088  0.285  0.364
Se  0.238  0.636  0.715
Se  0.285  0.088  0.762
Se  0.364  0.762  0.088
Se  0.636  0.238  0.912
Se  0.715  0.912  0.238
Se  0.762  0.364  0.285
Se  0.912  0.715  0.636



No. 8
Pu2HgIr | GGA-PBE | optimized geometry

Properties
Symmetry: R3m
Excess energy over the best structure of this formula in the dataset, eV per atom: 0.160
Crystal system: trigonal
Energy of formation, meV per atom: -173.5

Lattice parameters (Å, degrees): 7.970 7.970 7.970 29.40 29.40 29.40
Sites, in units of the cell vectors:
Pu  0.000  0.000  0.000
Pu  0.200  0.200  0.200
Hg  0.433  0.433  0.433
Ir  0.600  0.600  0.600



No. 9
K2RbNaBi | GGA-PBE | optimized geometry

Properties
Symmetry: P4/mmm
Excess energy over the best structure of this formula in the dataset, eV per atom: 0.103
Crystal system: tetragonal
Energy of formation, meV per atom: -70.5

Lattice parameters (Å, degrees): 6.924 6.924 7.207 90.00 90.00 90.00
Sites, in units of the cell vectors:
K  0.000  0.500  0.000
K  0.500  0.000  0.000
Rb  0.000  0.000  0.500
Na  0.500  0.500  0.500
Bi  0.000  0.000  0.000



No. 10
Ca2SmH6 | GGA-PBE | optimized geometry

Properties
Symmetry: Fm-3m
Calculated total energy, eV/atom: -3.2712
Crystal system: cubic

Lattice parameters (Å, degrees): 5.702 5.702 5.702 60.00 60.00 60.00
Sites, in units of the cell vectors:
Ca  0.250  0.250  0.250
Ca  0.750  0.750  0.750
Sm  0.000  0.000  0.000
H  0.271  0.271  0.729
H  0.271  0.729  0.271
H  0.271  0.729  0.729
H  0.729  0.271  0.271
H  0.729  0.271  0.729
H  0.729  0.729  0.271



No. 11
Mn3AsN | GGA-PBE | optimized geometry

Properties
Symmetry: Pm-3m
Crystal system: cubic
Formation energy (no corrections), meV/atom: -99

Lattice parameters (Å, degrees): 3.828 3.828 3.828 90.00 90.00 90.00
Sites, in units of the cell vectors:
Mn  0.000  0.000  0.500
Mn  0.000  0.500  0.000
Mn  0.500  0.000  0.000
As  0.500  0.500  0.500
N  0.000  0.000  0.000



No. 12
ErPuTl4 | GGA-PBE | optimized geometry

Properties
Symmetry: Cmmm
Crystal system: orthorhombic
Energy of formation, meV per atom: -22.9

Lattice parameters (Å, degrees): 6.705 6.705 5.190 90.00 90.00 134.22
Sites, in units of the cell vectors:
Er  0.000  0.000  0.000
Pu  0.500  0.500  0.500
Tl  0.169  0.831  0.500
Tl  0.335  0.665  0.000
Tl  0.665  0.335  0.000
Tl  0.831  0.169  0.500